# GdPu2Pt (PBE-GGA, relaxed)
data_GdPu2Pt
_chemical_formula_sum 'Gd3 Pu6 Pt3'
_symmetry_space_group_name_H-M 'R -3 m'
_symmetry_Int_Tables_number 166
_symmetry_space_group_name_Hall '-R 3 2"'
_cell_length_a 5.0564
_cell_length_b 5.0564
_cell_length_c 12.4210
_cell_angle_alpha 90.00
_cell_angle_beta 90.00
_cell_angle_gamma 120.00
loop_
_atom_site_label
_atom_site_type_symbol
_atom_site_fract_x
_atom_site_fract_y
_atom_site_fract_z
Gd1 Gd 0.0000 0.0000 0.0000
Pu1 Pu 0.0000 0.0000 0.2499
Pt1 Pt 0.0000 0.0000 0.5000
# **Total magnetization**: 1.15 μB/atom
# **Energy relative to the lowest polymorph listed for this composition**: 102.1 meV/atom
# **V**: 275.02 Å³ per cell
# **DFT total energy**: -49.6 eV/f.u.
# **DFT formation energy**: -0.1921 eV/atom